Material: TbScGaPt
Method: DFT, PBE-GGA
State: optimized geometry

a = 4.385 Å, b = 5.640 Å, c = 5.640 Å
α = 37.48°, β = 90.00°, γ = 90.00°
Atoms (fractional coordinates):
Tb1 0.000 0.000 0.000
Sc1 0.500 0.288 0.288
Ga1 0.500 0.576 0.576
Pt1 0.000 0.728 0.728

Calculated values
Crystal system: orthorhombic
Energy relative to the lowest polymorph listed for this composition (meV/atom): 0
E_tot (eV/atom): -5.91
Energy of formation (eV/atom): -0.901
Density of states at the Fermi level (states/eV per cell): 3.5